No. 1
A plane-wave DFT calculation with PBE was carried out for a relaxed structure of ErTh4Tc2.

Lattice parameters (Å, degrees): 7.8749 6.6228 7.9161 90.00 112.29 90.00
Space group P2_1/m (No. 11)
Symmetry-distinct sites (fractional):
Er  0.1671  0.2500  0.0303 x2
Th  0.0251  0.2500  0.3833 x2
Th  0.2266  0.7500  0.3154 x2
Th  0.4045  0.0024  0.7573 x4
Tc  0.2424  0.7500  0.9845 x2
Tc  0.3795  0.2500  0.4260 x2

Fermi-level density of states (states/eV/cell): 15.717
Energy of formation (eV/atom): -0.04


No. 2
A plane-wave DFT calculation with PBE was carried out for a relaxed structure of SbMo2Br.

Lattice parameters (Å, degrees): 3.0472 4.5081 5.7139 90.00 90.00 90.00
Space group Pmmm (No. 47)
Symmetry-distinct sites (fractional):
Sb  0.0000  0.0000  0.0000 x1
Mo  0.0000  0.5000  0.5000 x1
Mo  0.5000  0.5000  0.0000 x1
Br  0.5000  0.0000  0.5000 x1

Energy relative to the lowest polymorph listed for this composition (meV per atom): 705
Fermi-level density of states (states/eV/cell): 5.281


No. 3
A plane-wave DFT calculation with PBE was carried out for a relaxed structure of NaCuO3.

Lattice parameters (Å, degrees): 3.7512 3.7512 3.7512 90.00 90.00 90.00
Space group Pm-3m (No. 221)
Symmetry-distinct sites (fractional):
Na  0.0000  0.0000  0.0000 x1
Cu  0.5000  0.5000  0.5000 x1
O  0.0000  0.5000  0.5000 x3

Fermi-level density of states (states/eV/cell): 5.778
Electronic total energy (eV per atom): -4.393


No. 4
A plane-wave DFT calculation with PBE was carried out for a relaxed structure of DyYPd.

Lattice parameters (Å, degrees): 6.9202 6.9202 6.9202 90.00 90.00 90.00
Space group F-43m (No. 216)
Symmetry-distinct sites (fractional):
Dy  0.0000  0.0000  0.0000 x4
Y  0.0000  0.0000  0.5000 x4
Pd  0.2500  0.2500  0.7500 x4

Energy relative to the lowest polymorph listed for this composition (meV per atom): 88
Fermi-level density of states (states/eV/cell): 12.835
Energy of formation (eV/atom): -0.47


No. 5
A plane-wave DFT calculation with PBE was carried out for a relaxed structure of Ta4TcMo.

Lattice parameters (Å, degrees): 3.2209 3.2209 9.8671 90.00 90.00 90.00
Space group P4/mmm (No. 123)
Symmetry-distinct sites (fractional):
Ta  0.0000  0.0000  0.1587 x2
Ta  0.5000  0.5000  0.3393 x2
Tc  0.5000  0.5000  0.0000 x1
Mo  0.0000  0.0000  0.5000 x1

Energy relative to the lowest polymorph listed for this composition (meV per atom): 0
Fermi-level density of states (states/eV/cell): 4.641
Energy of formation (eV/atom): -0.28


No. 6
A plane-wave DFT calculation with PBE was carried out for a relaxed structure of BaTlHgAu.

Lattice parameters (Å, degrees): 4.6186 4.6186 12.2126 90.00 90.00 90.00
Space group P4/nmm (No. 129, origin choice 2)
Symmetry-distinct sites (fractional):
Ba  0.2500  0.2500  0.1858 x2
Tl  0.2500  0.7500  0.5000 x2
Hg  0.2500  0.2500  0.6796 x2
Au  0.2500  0.2500  0.9170 x2

Energy relative to the lowest polymorph listed for this composition (meV per atom): 57
Fermi-level density of states (states/eV/cell): 5.184
Energy of formation (eV/atom): -0.36


Here are the calculated ρ numbers, same order: 11.2; 8.3; 4.2; 7.2; 14.9; 9.4 (g cm⁻³).
Here are the calculated total magnetization numbers, same order: 0.00; 1.60; 1.69; 0.00; 0.00; 0.00 (μB/cell).